Version A
Nb3TeOs, optimized geometry, DFT PBE-GGA; volume = 117.63 Å³/cell; total moment = 0.00 μB/cell
1.0
-4.5384 0.0714 1.8454
1.1231 -3.7801 2.9082
1.4661 3.1167 3.4849
Os Nb Te
1 3 1
direct
0.5000 0.5000 0.5000
0.5000 0.0000 0.0000
0.0000 0.5000 0.0000
0.0000 0.0000 0.5000
0.0000 0.0000 0.0000

Version B
Nb3TeOs, optimized geometry, DFT PBE-GGA; volume = 118.38 Å³/cell; total moment = 0.00 μB/cell
1.0
4.9102 0.0000 0.0000
0.0000 4.9102 0.0000
0.0000 0.0000 4.9102
Nb Te Os
3 1 1
direct
0.5000 0.0000 0.0000
0.0000 0.0000 0.5000
0.0000 0.5000 0.0000
0.5000 0.5000 0.5000
0.0000 0.0000 0.0000

Bottom line: version B, by a margin of 1075 meV per atom.